Record 1
Material: Zr2Te2IBr
Method: DFT, PBE
State: relaxed

As for the spin magnetization: 0.0 μB per formula unit. As for the crystal system: monoclinic.

It has space group Cm (No. 8), with a = 13.836 Å, b = 4.583 Å, c = 7.800 Å, α = 90.00°, β = 111.13° and γ = 90.00°. The inequivalent atoms are Zr at (0.000, 0.000, 0.000), Zr at (0.204, 0.500, 0.080), Te at (0.000, 0.500, 0.793), Te at (0.202, 0.000, 0.287), I at (0.434, 0.500, 0.309) and Br at (0.279, 0.500, 0.810).

Record 2
Material: HfPt
Method: DFT, PBE
State: relaxed

As for the spin magnetization: 0.0 μB per formula unit. Its energy relative to the elements is -0.2961 eV/atom. As for the crystal system: cubic.

It has space group F-43m (No. 216), with a = 5.956 Å, b = 5.956 Å, c = 5.956 Å, α = 90.00°, β = 90.00° and γ = 90.00°. The inequivalent atoms are Hf at (0.000, 0.000, 0.000) and Pt at (0.250, 0.250, 0.750).

Record 3
Material: TcNiBOs
Method: DFT, PBE
State: relaxed

As for the spin magnetization: 0.0 μB per formula unit. As for the crystal system: cubic. Its polymorph energy (0 for the lowest one) is 0 meV per atom.

It has space group F-43m (No. 216), with a = 5.673 Å, b = 5.673 Å, c = 5.673 Å, α = 90.00°, β = 90.00° and γ = 90.00°. The inequivalent atoms are Tc at (0.000, 0.000, 0.000), Ni at (0.250, 0.250, 0.250), B at (0.250, 0.250, 0.750) and Os at (0.000, 0.000, 0.500).

Record 4
Material: Pr6TlFe13
Method: DFT, PBE
State: relaxed

As for the spin magnetization: 26.4 μB per formula unit. As for the crystal system: tetragonal.

It has space group I4/mcm (No. 140), with a = 8.036 Å, b = 8.036 Å, c = 23.663 Å, α = 90.00°, β = 90.00° and γ = 90.00°. The inequivalent atoms are Pr at (0.000, 0.000, 0.105), Pr at (0.163, 0.337, 0.184), Tl at (0.000, 0.000, 0.250), Fe at (0.000, 0.500, 0.000), Fe at (0.067, 0.210, 0.500), Fe at (0.113, 0.387, 0.408) and Fe at (0.179, 0.321, 0.058).

Record 5
Material: Dy3Zr3Bi2Os
Method: DFT, PBE
State: relaxed

As for the spin magnetization: 0.1 μB per formula unit. As for the crystal system: hexagonal. Its polymorph energy (0 for the lowest one) is 200 meV per atom.

It has space group P-62m (No. 189), with a = 8.1991 Å, b = 8.1991 Å, c = 3.8521 Å, α = 90.00°, β = 90.00° and γ = 120.00°. The inequivalent atoms are Dy at (0.0000, 0.7539, 0.0000), Zr at (0.0000, 0.3915, 0.5000), Bi at (0.3333, 0.6667, 0.0000) and Os at (0.0000, 0.0000, 0.5000).

Record 6
Material: BaPaPO
Method: DFT, PBE
State: relaxed

As for the spin magnetization: 1.3 μB per formula unit. As for the crystal system: tetragonal. Its polymorph energy (0 for the lowest one) is 247 meV per atom.

It has space group P4/nmm (No. 129, origin choice 2), with a = 4.394 Å, b = 4.394 Å, c = 9.330 Å, α = 90.00°, β = 90.00° and γ = 90.00°. The inequivalent atoms are Ba at (0.250, 0.750, 0.000), Pa at (0.250, 0.250, 0.393), P at (0.250, 0.250, 0.748) and O at (0.250, 0.750, 0.500).

Record 7
Material: Li2CdAg
Method: DFT, PBE
State: relaxed

As for the crystal system: tetragonal.

It has space group P4/mmm (No. 123), with a = 4.231 Å, b = 4.231 Å, c = 3.635 Å, α = 90.00°, β = 90.00° and γ = 90.00°. The inequivalent atoms are Li at (0.000, 0.500, 0.000), Cd at (0.000, 0.000, 0.500) and Ag at (0.500, 0.500, 0.500).

Record 8
Material: LiHfIr2
Method: DFT, PBE
State: relaxed

As for the spin magnetization: 0.0 μB per formula unit. As for the crystal system: hexagonal. Its polymorph energy (0 for the lowest one) is 225 meV per atom.

It has space group P6_3/mmc (No. 194), with a = 4.2403 Å, b = 4.2403 Å, c = 8.3659 Å, α = 90.00°, β = 90.00° and γ = 120.00°. The inequivalent atoms are Li at (0.0000, 0.0000, 0.0000), Hf at (0.3333, 0.6667, 0.2500) and Ir at (0.3333, 0.6667, 0.5982).

Record 9
Material: LuZn2Cu
Method: DFT, PBE
State: relaxed

As for the spin magnetization: 0.0 μB per formula unit. Its energy relative to the elements is -0.2117 eV/atom. As for the crystal system: cubic.

It has space group Fm-3m (No. 225), with a = 6.404 Å, b = 6.404 Å, c = 6.404 Å, α = 90.00°, β = 90.00° and γ = 90.00°. The inequivalent atoms are Lu at (0.000, 0.000, 0.000), Zn at (0.250, 0.250, 0.250) and Cu at (0.000, 0.000, 0.500).

Record 10
Material: NbTlW2
Method: DFT, PBE
State: relaxed

As for the spin magnetization: 0.6 μB per formula unit. As for the crystal system: cubic.

It has space group F-43m (No. 216), with a = 6.604 Å, b = 6.604 Å, c = 6.604 Å, α = 90.00°, β = 90.00° and γ = 90.00°. The inequivalent atoms are Nb at (0.000, 0.000, 0.000), Tl at (0.250, 0.250, 0.750), W at (0.000, 0.000, 0.500) and W at (0.250, 0.250, 0.250).

Record 11
Material: NdSmSeO2
Method: DFT, PBE
State: relaxed

As for the spin magnetization: 0.0 μB per formula unit. As for the crystal system: trigonal.

It has space group P3m1 (No. 156), with a = 3.9581 Å, b = 3.9581 Å, c = 6.9536 Å, α = 90.00°, β = 90.00° and γ = 120.00°. The inequivalent atoms are Nd at (0.0000, 0.0000, 0.0000), Sm at (0.6667, 0.3333, 0.4238), Se at (0.3333, 0.6667, 0.7093), O at (0.0000, 0.0000, 0.3413) and O at (0.6667, 0.3333, 0.0886).

Record 12
Material: Ag5Cl6
Method: DFT, PBE
State: relaxed

As for the crystal system: monoclinic.

It has space group C2/m (No. 12), with a = 6.629 Å, b = 12.039 Å, c = 6.627 Å, α = 90.00°, β = 105.87° and γ = 90.00°. The inequivalent atoms are Ag at (0.000, 0.000, 0.000), Ag at (0.000, 0.165, 0.500), Ag at (0.000, 0.338, 0.000), Cl at (0.243, 0.000, 0.759) and Cl at (0.243, 0.175, 0.249).

no.,calculated density (Mg/m³),VASP energy (eV for the cell shown)
1,4.6,-63.3
2,11.7,-66.4
3,13.0,-131.5
4,7.7,-558.5
5,10.1,-61.3
6,7.7,-51.7
7,6.0,-8.5
8,14.5,-62.8
9,9.3,-46.5
10,15.3,-142.4
11,7.1,-38.0
12,4.9,-59.9